1.
The following is a DFT calculation (PBE) of crystalline HfP2C at its relaxed geometry.

Lattice parameters (Å, degrees): 5.4208 5.4208 5.4208 117.07 117.07 95.15
Atoms (fractional coordinates):
Hf  0.0000  0.0000  0.0000
Hf  0.7500  0.2500  0.5000
P  0.2270  0.1250  0.6020
P  0.3750  0.7730  0.8980
P  0.5230  0.6250  0.3980
P  0.8750  0.4770  0.1020
C  0.2500  0.7500  0.5000
C  0.5000  0.5000  0.0000

Values from the calculation:
ΔE_f   0.4 eV per formula unit



2.
The following is a DFT calculation (PBE) of crystalline ErTaSi2Ru at its relaxed geometry.

Lattice parameters (Å, degrees): 6.1745 6.1745 6.1745 142.24 142.24 54.47
Atoms (fractional coordinates):
Er  0.0000  0.0000  0.0000
Ta  0.2500  0.7500  0.5000
Si  0.3923  0.3923  0.0000
Si  0.6076  0.6076  0.0000
Ru  0.7500  0.2500  0.5000

Values from the calculation:
Formation energy without anion corrections   -658 meV per atom



3.
The following is a DFT calculation (PBE) of crystalline Tm5CoPb2 at its relaxed geometry.

Lattice parameters (Å, degrees): 8.6743 8.6743 12.3485 90.00 90.00 144.86
Atoms (fractional coordinates):
Tm  0.0840  0.9160  0.6101
Tm  0.0840  0.9160  0.8899
Tm  0.2876  0.7124  0.2500
Tm  0.2958  0.7042  0.5768
Tm  0.2958  0.7042  0.9232
Tm  0.7042  0.2958  0.0768
Tm  0.7042  0.2958  0.4232
Tm  0.7124  0.2876  0.7500
Tm  0.9160  0.0840  0.1101
Tm  0.9160  0.0840  0.3899
Co  0.1960  0.8040  0.7500
Co  0.8040  0.1960  0.2500
Pb  0.1072  0.8928  0.1278
Pb  0.1072  0.8928  0.3722
Pb  0.8928  0.1072  0.6278
Pb  0.8928  0.1072  0.8722

Values from the calculation:
ΔE_f   0.2 eV per formula unit
Energy above the most stable polymorph in this dataset   418.0 meV/atom



4.
The following is a DFT calculation (PBE) of crystalline Zn6AgAu at its relaxed geometry.

Lattice parameters (Å, degrees): 5.6912 5.6912 4.4123 90.00 90.00 120.00
Atoms (fractional coordinates):
Zn  0.0074  0.5037  0.0000
Zn  0.1673  0.3346  0.5000
Zn  0.1673  0.8327  0.5000
Zn  0.4963  0.5037  0.0000
Zn  0.4963  0.9926  0.0000
Zn  0.6654  0.8327  0.5000
Ag  0.0000  0.0000  0.0000
Au  0.6667  0.3333  0.5000

Values from the calculation:
ΔE_f   -0.7 eV per formula unit
Energy above the most stable polymorph in this dataset   0.0 meV/atom